K2VTeO6: optimized geometry, PBE with a Hubbard U.

Calculated total energy (eV per cell): -115.19
Magnetization (μB/f.u.): 1.0

a b c (Å): 5.782 5.782 10.098
angles (deg): 73.36 73.36 60.00
Last column: magnetic moment on the atom in μB.
Atoms (fractional coordinates):
K  0.867  0.867  0.398  0.00
K  0.133  0.133  0.602  0.00
K  0.717  0.717  0.848  0.00
K  0.283  0.283  0.152  0.00
V  0.000  0.000  0.000  1.28
V  0.500  0.500  0.500  0.97
Te  0.593  0.593  0.220  0.03
Te  0.407  0.407  0.780  0.03
O  0.839  0.399  0.363  -0.03
O  0.399  0.839  0.363  -0.03
O  0.399  0.399  0.363  -0.03
O  0.161  0.601  0.637  -0.03
O  0.601  0.161  0.637  -0.03
O  0.601  0.601  0.637  -0.03
O  0.706  0.205  0.883  -0.03
O  0.205  0.706  0.883  -0.03
O  0.205  0.205  0.883  -0.03
O  0.294  0.795  0.117  -0.03
O  0.795  0.294  0.117  -0.03
O  0.795  0.795  0.117  -0.03